# 1
# GGA-PBEsol TaCrCo2, optimized geometry
data_TaCrCo2
_chemical_formula_sum 'Ta3 Cr3 Co6'
_cell_length_a 2.6326
_cell_length_b 2.6326
_cell_length_c 24.7809
_cell_angle_alpha 90.00
_cell_angle_beta 90.00
_cell_angle_gamma 120.00
_space_group_name_H-M_alt 'R -3 m'
_space_group_IT_number 166
_space_group_name_Hall '-R 3 2"'
loop_
_atom_site_label
_atom_site_type_symbol
_atom_site_fract_x
_atom_site_fract_y
_atom_site_fract_z
Ta1 Ta 0.0000 0.0000 0.0000
Cr1 Cr 0.0000 0.0000 0.5000
Co1 Co 0.0000 0.0000 0.2425
# Final energy (eV/atom): -9.2746
# ΔH_f (0 K) (kcal/mol of atoms): 6.74
# Magnetization (μB per cell): 2.87

# 2
# GGA-PBEsol Hf3NbP, optimized geometry
data_Hf3NbP
_chemical_formula_sum 'Hf3 Nb1 P1'
_cell_length_a 4.738
_cell_length_b 4.738
_cell_length_c 4.738
_cell_angle_alpha 90.00
_cell_angle_beta 90.00
_cell_angle_gamma 90.00
_space_group_name_H-M_alt 'P m -3 m'
_space_group_IT_number 221
_space_group_name_Hall '-P 4 2 3'
loop_
_atom_site_label
_atom_site_type_symbol
_atom_site_fract_x
_atom_site_fract_y
_atom_site_fract_z
Hf1 Hf 0.000 0.000 0.500
Nb1 Nb 0.500 0.500 0.500
P1 P 0.000 0.000 0.000
# Final energy (eV/atom): -9.6544
# ΔH_f (0 K) (kcal/mol of atoms): -0.69
# Magnetization (μB per cell): 0.00

# 3
# GGA-PBEsol YRe4Br, optimized geometry
data_YRe4Br
_chemical_formula_sum 'Y4 Re16 Br4'
_cell_length_a 7.516
_cell_length_b 7.516
_cell_length_c 7.516
_cell_angle_alpha 90.00
_cell_angle_beta 90.00
_cell_angle_gamma 90.00
_space_group_name_H-M_alt 'F -4 3 m'
_space_group_IT_number 216
_space_group_name_Hall 'F -4 2 3'
loop_
_atom_site_label
_atom_site_type_symbol
_atom_site_fract_x
_atom_site_fract_y
_atom_site_fract_z
Y1 Y 0.000 0.000 0.000
Re1 Re 0.124 0.124 0.376
Br1 Br 0.250 0.250 0.750
# Final energy (eV/atom): -9.7005
# ΔE_f (raw) (meV per atom): 636
# Magnetization (μB per cell): 0.00

# 4
# GGA-PBEsol Mn4TePb, optimized geometry
data_Mn4TePb
_chemical_formula_sum 'Mn16 Te4 Pb4'
_cell_length_a 7.212
_cell_length_b 7.212
_cell_length_c 7.212
_cell_angle_alpha 90.00
_cell_angle_beta 90.00
_cell_angle_gamma 90.00
_space_group_name_H-M_alt 'F -4 3 m'
_space_group_IT_number 216
_space_group_name_Hall 'F -4 2 3'
loop_
_atom_site_label
_atom_site_type_symbol
_atom_site_fract_x
_atom_site_fract_y
_atom_site_fract_z
Mn1 Mn 0.125 0.125 0.125
Te1 Te 0.250 0.250 0.750
Pb1 Pb 0.000 0.000 0.500
# Final energy (eV/atom): -7.2017
# ΔE_f (raw) (meV per atom): 560
# Magnetization (μB per cell): 40.08

The lowest final energy belongs to which entry? YRe4Br